# 1
Compound: La3Pm
Source: the Alexandria database
Functional: GGA-PBE
Structure: relaxed

Unit cell a=3.740 b=6.028 c=6.477 alpha=90.00 beta=90.00 gamma=90.00
Atoms (fractional coordinates):
La (0.500, 0.500, 0.833)
La (0.000, 0.000, 0.001)
La (0.500, 0.000, 0.501)
Pm (0.000, 0.500, 0.331)

Computed properties:
Magnetization: 0.00 μB per atom
VASP energy: -4.85 eV/atom
Space group: No. 25
E_form: 0.031 eV/atom

# 2
Compound: LuZrTlPd
Source: the Alexandria database
Functional: GGA-PBE
Structure: relaxed

Unit cell a=4.993 b=4.993 c=4.993 alpha=60.00 beta=60.00 gamma=60.00
Atoms (fractional coordinates):
Zr (0.750, 0.750, 0.750)
Pd (0.500, 0.500, 0.500)
Tl (0.000, 0.000, 0.000)
Lu (0.250, 0.250, 0.250)

Computed properties:
Magnetization: 0.07 μB per atom
VASP energy: -5.51 eV/atom
Space group: No. 216
E_form: -0.351 eV/atom